[1]
Material: Cs2Te2PbO6
Method: DFT, PBE-GGA
State: relaxed

Symmetry = C2/m, No. 12
Energy relative to the elements, uncorrected = -1268 meV/atom
Theoretical density = 5.19 g/cm³

Unit cell a=6.2650 b=6.2650 c=8.0723 alpha=109.05 beta=109.05 gamma=64.41
Fractional coordinates of all 11 atoms:
1 Cs 0.2088 0.2088 0.1632
2 Cs 0.7912 0.7912 0.8368
3 Te 0.4130 0.4130 0.7578
4 Te 0.5870 0.5870 0.2422
5 Pb 0.0000 0.0000 0.5000
6 O 0.2551 0.2551 0.5459
7 O 0.2589 0.7054 0.2610
8 O 0.2946 0.7411 0.7390
9 O 0.7054 0.2589 0.2610
10 O 0.7411 0.2946 0.7390
11 O 0.7449 0.7449 0.4541

=====

[2]
Material: La2SbSe2
Method: DFT, PBE-GGA
State: relaxed

Symmetry = P4/mbm, No. 127
Energy relative to the elements, uncorrected = -1496 meV/atom
Theoretical density = 6.43 g/cm³
Offset from the most stable computed form = 0 kJ/mol of formula units

Unit cell a=8.6071 b=8.6071 c=3.8853 alpha=90.00 beta=90.00 gamma=90.00
Fractional coordinates of all 10 atoms:
1 La 0.1618 0.3382 0.0000
2 La 0.3382 0.8382 0.0000
3 La 0.6619 0.1618 0.0000
4 La 0.8382 0.6619 0.0000
5 Sb 0.0000 0.0000 0.0000
6 Sb 0.5000 0.5000 0.0000
7 Se 0.1359 0.6359 0.5000
8 Se 0.3641 0.1359 0.5000
9 Se 0.6359 0.8641 0.5000
10 Se 0.8641 0.3641 0.5000

=====

[3]
Material: RbHf2CrMo
Method: DFT, PBE-GGA
State: relaxed

Symmetry = P4/mmm, No. 123
ΔH_f (0 K) = 1574 meV/atom
Theoretical density = 6.50 g/cm³

Unit cell a=5.0250 b=5.0250 c=5.9717 alpha=90.00 beta=90.00 gamma=90.00
Fractional coordinates of all 5 atoms:
1 Rb 0.0000 0.0000 0.0000
2 Hf 0.0000 0.5000 0.5000
3 Hf 0.5000 0.0000 0.5000
4 Cr 0.5000 0.5000 0.0000
5 Mo 0.0000 0.0000 0.5000

=====

[4]
Material: Pd
Method: DFT, PBE-GGA
State: relaxed

Symmetry = P6_3/mmc, No. 194
ΔH_f (0 K) = 21 meV/atom
Theoretical density = 11.45 g/cm³
Offset from the most stable computed form = 2 kJ/mol of formula units

Unit cell a=2.7846 b=2.7846 c=9.1944 alpha=90.00 beta=90.00 gamma=120.00
Fractional coordinates of all 4 atoms:
1 Pd 0.0000 0.0000 0.0000
2 Pd 0.0000 0.0000 0.5000
3 Pd 0.3333 0.6667 0.2500
4 Pd 0.6667 0.3333 0.7500

=====

[5]
Material: PrTmAgAu
Method: DFT, PBE-GGA
State: relaxed

Symmetry = F-43m, No. 216
ΔH_f (0 K) = -531 meV/atom
Theoretical density = 10.32 g/cm³
Offset from the most stable computed form = 15 kJ/mol of formula units

Unit cell a=5.1907 b=5.1907 c=5.1907 alpha=60.00 beta=60.00 gamma=60.00
Fractional coordinates of all 4 atoms:
1 Pr 0.0000 0.0000 0.0000
2 Tm 0.5000 0.5000 0.5000
3 Ag 0.2500 0.2500 0.2500
4 Au 0.7500 0.7500 0.7500

=====

[6]
Material: CdHPd2
Method: DFT, PBE-GGA
State: relaxed

Symmetry = I-42d, No. 122
Theoretical density = 9.69 g/cm³
Offset from the most stable computed form = 20 kJ/mol of formula units

Unit cell a=5.2570 b=5.2570 c=5.2570 alpha=109.34 beta=109.34 gamma=109.73
Fractional coordinates of all 8 atoms:
1 Cd 0.0000 0.0000 0.0000
2 Cd 0.7500 0.2500 0.5000
3 H 0.2500 0.7500 0.5000
4 H 0.5000 0.5000 0.0000
5 Pd 0.2485 0.6250 0.1235
6 Pd 0.3750 0.4985 0.6235
7 Pd 0.5015 0.1250 0.8765
8 Pd 0.8750 0.7515 0.3765

=====

no.,M_tot (μB/cell),E_tot (eV/atom)
1,0.00,-5.036
2,0.00,-5.685
3,4.86,-6.692
4,1.35,-5.171
5,0.00,-4.376
6,0.00,-3.859